# 1
The following is a DFT calculation (PBE) of BiIr2PdW after structural relaxation.

Results
Uncorrected energy   -5.781 eV/atom
Magnetization   3.6 μB per cell
Symmetry   P4/mmm, No. 123
Calculated formation energy   2.1691 eV per atom
DOS at the Fermi energy   1.587 states/eV/atom

Lattice parameters (Å, degrees): 4.807 4.807 4.892 90.00 90.00 90.00
Atoms (fractional coordinates):
Bi1 0.000 0.000 0.000
Ir1 0.000 0.500 0.500
Ir2 0.500 0.000 0.500
Pd1 0.000 0.000 0.500
W1 0.500 0.500 0.000

# 2
The following is a DFT calculation (PBE) of ZnBiIrPd2 after structural relaxation.

Results
Uncorrected energy   -3.420 eV/atom
Magnetization   1.1 μB per cell
Symmetry   P4/mmm, No. 123
Calculated formation energy   1.4608 eV per atom
DOS at the Fermi energy   1.170 states/eV/atom

Lattice parameters (Å, degrees): 4.995 4.995 4.945 90.00 90.00 90.00
Atoms (fractional coordinates):
Zn1 0.000 0.000 0.000
Bi1 0.000 0.000 0.500
Ir1 0.500 0.500 0.000
Pd1 0.000 0.500 0.500
Pd2 0.500 0.000 0.500

Please write out number 1 again, unchanged.
The following is a DFT calculation (PBE) of BiIr2PdW after structural relaxation.

Results
Uncorrected energy   -5.781 eV/atom
Magnetization   3.6 μB per cell
Symmetry   P4/mmm, No. 123
Calculated formation energy   2.1691 eV per atom
DOS at the Fermi energy   1.587 states/eV/atom

Lattice parameters (Å, degrees): 4.807 4.807 4.892 90.00 90.00 90.00
Atoms (fractional coordinates):
Bi1 0.000 0.000 0.000
Ir1 0.000 0.500 0.500
Ir2 0.500 0.000 0.500
Pd1 0.000 0.000 0.500
W1 0.500 0.500 0.000

What did the first record say?
The following is a DFT calculation (PBE) of BiIr2PdW after structural relaxation.

Results
Uncorrected energy   -5.781 eV/atom
Magnetization   3.6 μB per cell
Symmetry   P4/mmm, No. 123
Calculated formation energy   2.1691 eV per atom
DOS at the Fermi energy   1.587 states/eV/atom

Lattice parameters (Å, degrees): 4.807 4.807 4.892 90.00 90.00 90.00
Atoms (fractional coordinates):
Bi1 0.000 0.000 0.000
Ir1 0.000 0.500 0.500
Ir2 0.500 0.000 0.500
Pd1 0.000 0.000 0.500
W1 0.500 0.500 0.000